1.
Density functional theory data (PBE-GGA) for crystalline InCoSb2 at its relaxed geometry.

Cell: 3.1568 3.1569 8.7594 Å, 90.00 90.00 90.00°
Each line ends with the local moment (μB).
Fractional positions:
Sb: 0.5000 0.5000 0.3262  -0.01
Co: 0.0000 0.0000 0.4955  0.52
In: 0.5000 0.5000 0.6916  0.01
Sb: 0.0000 0.0000 0.9867  -0.01

Computed properties:
The total moment comes out at 0.472 μB per cell. For the energy, the calculation gives -17.425 eV/cell.

2.
Density functional theory data (PBE-GGA) for crystalline PmZrTlAg at its relaxed geometry.

Cell: 5.1873 5.1873 5.1873 Å, 60.00 60.00 60.00°
Each line ends with the local moment (μB).
Fractional positions:
Tl: 0.2500 0.2500 0.2500  -0.02
Ag: 0.7500 0.7500 0.7500  0.02
Zr: 0.5000 0.5000 0.5000  0.41
Pm: 0.0000 0.0000 0.0000  0.14

Computed properties:
The total moment comes out at 0.897 μB per cell. The value obtained for the formation energy from the elements is -100 meV/atom.